# 1
La3ZnHg2 after structural relaxation, computed with PBE-GGA.

The structure in POSCAR format:
```
La3ZnHg2
1.0
2.7243 -8.1849 0.0000
2.7243 8.1849 0.0000
0.0000 0.0000 3.8905
La Zn Hg
3 1 2
Direct
0.0000 0.0000 0.0000 La
0.3388 0.6612 0.0000 La
0.6612 0.3388 0.0000 La
0.5000 0.5000 0.5000 Zn
0.1659 0.8341 0.5000 Hg
0.8341 0.1659 0.5000 Hg
```

Output
As for the formation energy: -0.432 eV per atom. Its total energy is -3.21 eV/atom. For the spin magnetization, the calculation gives 0.7 μB/cell. For the excess energy over the best structure of this formula in the dataset, the calculation gives 8.7 meV per atom. As for the space-group type: Cmmm, No. 65.

***

# 2
La4ZnHg after structural relaxation, computed with PBE-GGA.

The structure in POSCAR format:
```
La4ZnHg
1.0
3.7404 -3.7402 0.0000
3.7404 3.7402 0.0000
-0.0102 0.0000 7.3755
La Zn Hg
4 1 1
Direct
0.9997 0.5002 0.2326 La
0.0003 0.4998 0.7674 La
0.5002 0.9997 0.2326 La
0.4998 0.0003 0.7674 La
0.0000 0.0000 0.0000 Zn
0.5000 0.5000 0.5000 Hg
```

Output
As for the formation energy: -0.076 eV per atom. Its total energy is -3.62 eV/atom. For the spin magnetization, the calculation gives 0.0 μB/cell. For the excess energy over the best structure of this formula in the dataset, the calculation gives 185.5 meV per atom. As for the space-group type: C2/m, No. 12.

***

# 3
La6ZnHg2 after structural relaxation, computed with PBE-GGA.

The structure in POSCAR format:
```
La6ZnHg2
1.0
6.6512 0.0000 0.0000
0.0000 8.6111 0.0000
-5.7174 0.0000 10.1961
La Zn Hg
12 2 4
Direct
0.0817 0.0574 0.2285 La
0.0817 0.4426 0.7285 La
0.1751 0.7092 0.0621 La
0.1751 0.7908 0.5621 La
0.4047 0.1568 0.0425 La
0.4047 0.3432 0.5425 La
0.5953 0.6568 0.4575 La
0.5953 0.8432 0.9575 La
0.8249 0.2092 0.4379 La
0.8249 0.2908 0.9379 La
0.9183 0.5574 0.2715 La
0.9183 0.9426 0.7715 La
0.5000 0.0000 0.5000 Zn
0.5000 0.5000 0.0000 Zn
0.3319 0.1102 0.7325 Hg
0.3319 0.3898 0.2325 Hg
0.6681 0.6102 0.7675 Hg
0.6681 0.8898 0.2675 Hg
```

Output
As for the formation energy: -0.208 eV per atom. Its total energy is -3.70 eV/atom. For the spin magnetization, the calculation gives 0.0 μB/cell. For the excess energy over the best structure of this formula in the dataset, the calculation gives 63.3 meV per atom. As for the space-group type: P2_1/c, No. 14.

***

# 4
LaZnHg after structural relaxation, computed with PBE-GGA.

The structure in POSCAR format:
```
LaZnHg
1.0
-1.8065 1.8065 5.7161
1.8065 -1.8065 5.7161
1.8065 1.8065 -5.7161
La Zn Hg
1 1 1
Direct
0.0000 0.0000 0.0000 La
0.6761 0.6761 0.0000 Zn
0.3065 0.3065 0.0000 Hg
```

Output
As for the formation energy: -0.283 eV per atom. Its total energy is -2.45 eV/atom. For the spin magnetization, the calculation gives 0.0 μB/cell. As for the space-group type: I4mm, No. 107.

***

# 5
La3Zn2Hg3 after structural relaxation, computed with PBE-GGA.

The structure in POSCAR format:
```
La3Zn2Hg3
1.0
2.3677 -5.6428 0.0000
2.3677 5.6428 0.0000
0.0000 0.0000 15.9662
La Zn Hg
6 4 6
Direct
0.0974 0.9026 0.6016 La
0.0974 0.9026 0.8984 La
0.3765 0.6235 0.7500 La
0.6235 0.3765 0.2500 La
0.9026 0.0974 0.1016 La
0.9026 0.0974 0.3984 La
0.2026 0.7974 0.1027 Zn
0.2026 0.7974 0.3973 Zn
0.7974 0.2026 0.6027 Zn
0.7974 0.2026 0.8973 Zn
0.3386 0.6614 0.2500 Hg
0.3831 0.6169 0.5441 Hg
0.3831 0.6169 0.9559 Hg
0.6169 0.3831 0.0441 Hg
0.6169 0.3831 0.4559 Hg
0.6614 0.3386 0.7500 Hg
```

Output
As for the formation energy: -0.421 eV per atom. Its total energy is -2.70 eV/atom. For the spin magnetization, the calculation gives 0.0 μB/cell. As for the space-group type: Cmcm, No. 63.

***

# 6
La7Zn2Hg2 after structural relaxation, computed with PBE-GGA.

The structure in POSCAR format:
```
La7Zn2Hg2
1.0
4.0223 -5.7819 0.0000
4.0223 5.7819 0.0000
0.0000 0.0000 7.7547
La Zn Hg
7 2 2
Direct
0.0000 0.0000 0.0000 La
0.0000 0.5000 0.2867 La
0.0000 0.5000 0.7133 La
0.5000 0.0000 0.2867 La
0.5000 0.0000 0.7133 La
0.5000 0.5000 0.2462 La
0.5000 0.5000 0.7538 La
0.2863 0.7137 0.0000 Zn
0.7137 0.2863 0.0000 Zn
0.1766 0.1766 0.5000 Hg
0.8234 0.8234 0.5000 Hg
```

Output
As for the formation energy: -0.095 eV per atom. Its total energy is -3.52 eV/atom. For the spin magnetization, the calculation gives 0.0 μB/cell. As for the space-group type: Cmmm, No. 65.

***

# 7
LaZn2Hg after structural relaxation, computed with PBE-GGA.

The structure in POSCAR format:
```
LaZn2Hg
1.0
3.5903 0.0000 0.0000
0.0000 3.5903 0.0000
0.0000 0.0000 7.0824
La Zn Hg
1 2 1
Direct
0.0000 0.0000 0.0000 La
0.5000 0.5000 0.2872 Zn
0.5000 0.5000 0.7128 Zn
0.0000 0.0000 0.5000 Hg
```

Output
As for the formation energy: -0.156 eV per atom. Its total energy is -2.10 eV/atom. For the spin magnetization, the calculation gives 0.0 μB/cell. As for the space-group type: P4/mmm, No. 123.

***

# 8
LaZn2Hg2 after structural relaxation, computed with PBE-GGA.

The structure in POSCAR format:
```
LaZn2Hg2
1.0
7.8282 0.0000 0.0000
0.0000 7.8282 0.0000
0.0000 0.0000 3.9009
La Zn Hg
2 4 4
Direct
0.0000 0.0000 0.0000 La
0.5000 0.5000 0.0000 La
0.1140 0.3860 0.0000 Zn
0.3860 0.8860 0.0000 Zn
0.6140 0.1140 0.0000 Zn
0.8860 0.6140 0.0000 Zn
0.1872 0.6872 0.5000 Hg
0.3128 0.1872 0.5000 Hg
0.6872 0.8128 0.5000 Hg
0.8128 0.3128 0.5000 Hg
```

Output
As for the formation energy: -0.139 eV per atom. Its total energy is -1.75 eV/atom. For the spin magnetization, the calculation gives 0.0 μB/cell. For the excess energy over the best structure of this formula in the dataset, the calculation gives 172.1 meV per atom. As for the space-group type: P4/mbm, No. 127.

***

# 9
La3Zn3Hg after structural relaxation, computed with PBE-GGA.

The structure in POSCAR format:
```
La3Zn3Hg
1.0
-1.8726 2.3582 10.3548
1.8726 -2.3582 10.3548
1.8726 2.3582 -10.3548
La Zn Hg
3 3 1
Direct
0.0000 0.0000 0.0000 La
0.3865 0.3865 0.0000 La
0.6875 0.1875 0.5000 La
0.1224 0.6224 0.5000 Zn
0.5549 0.5549 0.0000 Zn
0.8339 0.8339 0.0000 Zn
0.2569 0.7569 0.5000 Hg
```

Output
As for the formation energy: -0.333 eV per atom. Its total energy is -3.03 eV/atom. For the spin magnetization, the calculation gives 0.0 μB/cell. As for the space-group type: Imm2, No. 44.

***

# 10
La6Zn3Hg after structural relaxation, computed with PBE-GGA.

The structure in POSCAR format:
```
La6Zn3Hg
1.0
9.5546 0.0000 0.0000
0.0000 5.3473 0.0000
-3.4717 0.0000 11.3028
La Zn Hg
12 6 2
Direct
0.0247 0.2500 0.4074 La
0.1433 0.7500 0.1842 La
0.2235 0.2500 0.9924 La
0.3333 0.7500 0.8091 La
0.3823 0.2500 0.3524 La
0.3994 0.2500 0.6171 La
0.6006 0.7500 0.3829 La
0.6177 0.7500 0.6476 La
0.6667 0.2500 0.1909 La
0.7765 0.7500 0.0076 La
0.8567 0.2500 0.8158 La
0.9753 0.7500 0.5926 La
0.0355 0.7500 0.8794 Zn
0.1227 0.2500 0.7121 Zn
0.2677 0.7500 0.4733 Zn
0.7323 0.2500 0.5267 Zn
0.8773 0.7500 0.2879 Zn
0.9645 0.2500 0.1206 Zn
0.4464 0.7500 0.1007 Hg
0.5536 0.2500 0.8993 Hg
```

Output
As for the formation energy: -0.258 eV per atom. Its total energy is -3.63 eV/atom. For the spin magnetization, the calculation gives 0.0 μB/cell. As for the space-group type: P2_1/m, No. 11.

***

# 11
La4ZnHg3 after structural relaxation, computed with PBE-GGA.

The structure in POSCAR format:
```
La4ZnHg3
1.0
3.8705 0.0000 0.0000
0.0000 3.8705 0.0000
0.0000 0.0000 15.5165
La Zn Hg
4 1 3
Direct
0.0000 0.0000 0.1122 La
0.0000 0.0000 0.3721 La
0.0000 0.0000 0.6279 La
0.0000 0.0000 0.8878 La
0.5000 0.5000 0.0000 Zn
0.5000 0.5000 0.2425 Hg
0.5000 0.5000 0.5000 Hg
0.5000 0.5000 0.7575 Hg
```

Output
As for the formation energy: -0.456 eV per atom. Its total energy is -3.19 eV/atom. For the spin magnetization, the calculation gives 0.6 μB/cell. As for the space-group type: P4/mmm, No. 123.

***

# 12
La2Zn2Hg after structural relaxation, computed with PBE-GGA.

The structure in POSCAR format:
```
La2Zn2Hg
1.0
-1.8821 1.8821 9.5068
1.8821 -1.8821 9.5068
1.8821 1.8821 -9.5068
La Zn Hg
2 2 1
Direct
0.1094 0.1094 0.0000 La
0.8906 0.8906 0.0000 La
0.2500 0.7500 0.5000 Zn
0.7500 0.2500 0.5000 Zn
0.5000 0.5000 0.0000 Hg
```

Output
As for the formation energy: -0.196 eV per atom. Its total energy is -2.74 eV/atom. For the spin magnetization, the calculation gives 0.0 μB/cell. As for the space-group type: I4/mmm, No. 139.

***

# 13
LaZnHg after structural relaxation, computed with PBE-GGA.

The structure in POSCAR format:
```
LaZnHg
1.0
0.0000 3.4389 3.4389
3.4389 0.0000 3.4389
3.4389 3.4389 0.0000
La Zn Hg
1 1 1
Direct
0.0000 0.0000 0.0000 La
0.2500 0.2500 0.2500 Zn
0.5000 0.5000 0.5000 Hg
```

Output
As for the formation energy: -0.296 eV per atom. Its total energy is -2.46 eV/atom. For the spin magnetization, the calculation gives 0.0 μB/cell. As for the space-group type: F-43m, No. 216.